Fe4O7F | PBE with a Hubbard U | optimized geometry

Symmetry: Cmcm, No. 63
Energy above the lowest structure with this stoichiometry (meV/atom): 5
E (eV per atom): -6.1323

Lattice parameters (Å, degrees): 4.617 4.617 12.045 90.00 90.00 91.94
Fractional positions:
Fe  0.000  0.000  0.000
Fe  0.000  0.000  0.500
Fe  0.027  0.973  0.750
Fe  0.499  0.501  0.621
Fe  0.499  0.501  0.879
Fe  0.501  0.499  0.121
Fe  0.501  0.499  0.379
Fe  0.973  0.027  0.250
O  0.184  0.202  0.126
O  0.184  0.202  0.374
O  0.202  0.184  0.626
O  0.202  0.184  0.874
O  0.305  0.695  0.002
O  0.305  0.695  0.498
O  0.326  0.674  0.750
O  0.674  0.326  0.250
O  0.695  0.305  0.502
O  0.695  0.305  0.998
O  0.798  0.816  0.126
O  0.798  0.816  0.374
O  0.816  0.798  0.626
O  0.816  0.798  0.874
F  0.291  0.709  0.250
F  0.709  0.291  0.750